# KV3Se2O12 GGA+U relaxed
data_KV3Se2O12
_chemical_formula_sum 'K2 V6 Se4 O24'
_cell_length_a 7.1617
_cell_length_b 7.1617
_cell_length_c 12.1247
_cell_angle_alpha 90.00
_cell_angle_beta 90.00
_cell_angle_gamma 120.00
_symmetry_space_group_name_H-M 'P 63'
_symmetry_Int_Tables_number 173
_symmetry_space_group_name_Hall 'P 6c'
loop_
_atom_site_label
_atom_site_type_symbol
_atom_site_fract_x
_atom_site_fract_y
_atom_site_fract_z
_atom_site_occupancy
K1 K 0.3333 0.6667 0.0000 1
V1 V 0.1272 0.3331 0.3737 1
Se1 Se 0.0000 0.0000 0.1595 1
Se2 Se 0.3333 0.6667 0.5915 1
O1 O 0.0815 0.5411 0.3507 1
O2 O 0.1230 0.8688 0.2207 1
O3 O 0.1249 0.8739 0.9041 1
O4 O 0.2001 0.7877 0.5321 1
# E_tot   -0.239 Ha/atom
# Total moment   0.0 μB per formula unit
# ρ   3.341 Mg/m³
# N(E_F)   0.00 states/eV per cell